(1)
Entry from OQMD via LeMat-Bulk: La2SmNi8Pt after structural relaxation (PBE-GGA).

For the formation energy, the calculation gives -435.4 meV/atom. The spin magnetization is 0.64 μB/f.u. As for the calculated total energy: -5.865 eV/atom.

The space group is R-3m (No. 166, hexagonal axes) and the conventional cell measures 5.0479, 5.0479 and 25.2314 Å, with angles of 90.00, 90.00 and 120.00 degrees. The inequivalent atoms are La at (0.0000, 0.0000, 0.1364), Sm at (0.0000, 0.0000, 0.0000), Ni at (0.0000, 0.0000, 0.3330), Ni at (0.0020, 0.5010, 0.9223) and Pt at (0.0000, 0.0000, 0.5000).

---

(2)
Entry from OQMD via LeMat-Bulk: La3NiSn3Pt2 after structural relaxation (PBE-GGA).

The spin magnetization is 0.00 μB/f.u. As for the calculated total energy: -5.914 eV/atom.

The space group is P-62m (No. 189) and the conventional cell measures 7.7223, 7.7223 and 4.1179 Å, with angles of 90.00, 90.00 and 120.00 degrees. The inequivalent atoms are La at (0.0000, 0.5886, 0.0000), Ni at (0.0000, 0.0000, 0.0000), Sn at (0.0000, 0.2397, 0.5000) and Pt at (0.3333, 0.6667, 0.5000).